# Mg3GePd

An optimized crystal structure of Mg3GePd (PBE-GGA, Alexandria via LeMat-Bulk). Values from VASP.

```
&SYSTEM
  ibrav = 0, nat = 5, ntyp = 3
/
ATOMIC_SPECIES
Ge 72.64 Ge.upf
Mg 24.30 Mg.upf
Pd 106.42 Pd.upf
CELL_PARAMETERS angstrom
-1.4451 1.3534 -4.5115
-3.4631 -3.5039 0.0582
-3.1926 3.1882 1.9790
ATOMIC_POSITIONS crystal
Ge 0.5000 0.5000 0.5000
Mg 0.0000 0.5000 0.0000
Mg 0.0000 0.0000 0.5000
Mg 0.5000 0.0000 0.0000
Pd 0.0000 0.0000 0.0000
```

Calculated values
Spin magnetization: 0.00 μB per formula unit
Symmetry: Pm-3m
Crystal system: cubic
DFT total energy: -0.2140 Ry/atom

# AcCd5Ag2

An optimized crystal structure of AcCd5Ag2 (PBE-GGA, Alexandria via LeMat-Bulk). Values from VASP.

```
&SYSTEM
  ibrav = 0, nat = 8, ntyp = 3
/
ATOMIC_SPECIES
Ac 227.00 Ac.upf
Cd 112.41 Cd.upf
Ag 107.87 Ag.upf
CELL_PARAMETERS angstrom
4.4157 0.0000 0.0000
2.2078 6.7672 0.2289
2.2078 1.4683 6.6100
ATOMIC_POSITIONS crystal
Ac 0.0000 0.0000 0.0000
Cd 0.0000 0.5000 0.5000
Cd 0.6451 0.5423 0.1676
Cd 0.3549 0.4577 0.8324
Cd 0.3549 0.8324 0.4577
Cd 0.6451 0.1676 0.5423
Ag 0.7379 0.7621 0.7621
Ag 0.2621 0.2379 0.2379
```

Calculated values
Spin magnetization: 0.00 μB per formula unit
Symmetry: Immm
Crystal system: orthorhombic
DFT total energy: -0.1460 Ry/atom

# Al3NCl

An optimized crystal structure of Al3NCl (PBE-GGA, Alexandria via LeMat-Bulk). Values from VASP.

```
&SYSTEM
  ibrav = 0, nat = 5, ntyp = 3
/
ATOMIC_SPECIES
N 14.01 N.upf
Al 26.98 Al.upf
Cl 35.45 Cl.upf
CELL_PARAMETERS angstrom
4.4032 0.0000 0.0000
0.0000 4.4032 0.0000
0.0000 0.0000 4.4032
ATOMIC_POSITIONS crystal
N 0.0000 0.0000 0.0000
Al 0.0000 0.5000 0.0000
Al 0.0000 0.0000 0.5000
Al 0.5000 0.0000 0.0000
Cl 0.5000 0.5000 0.5000
```

Calculated values
Spin magnetization: 0.00 μB per formula unit
Symmetry: Pm-3m
Crystal system: cubic
E_form (uncorrected): 0.368 eV per atom

# LiHgPt2

An optimized crystal structure of LiHgPt2 (PBE-GGA, Alexandria via LeMat-Bulk). Values from VASP.

```
&SYSTEM
  ibrav = 0, nat = 4, ntyp = 3
/
ATOMIC_SPECIES
Hg 200.59 Hg.upf
Li 6.94 Li.upf
Pt 195.08 Pt.upf
CELL_PARAMETERS angstrom
2.8672 0.0000 0.0000
0.0000 3.9631 0.0000
0.0000 0.0000 5.7314
ATOMIC_POSITIONS crystal
Hg 0.5000 0.5000 0.2500
Li 0.5000 0.5000 0.7500
Pt 0.0000 0.0000 0.9827
Pt 0.0000 0.0000 0.5173
```

Calculated values
Spin magnetization: 0.00 μB per formula unit
Symmetry: Pmmm
Crystal system: orthorhombic
DFT total energy: -0.2811 Ry/atom

# NaScSCl2

An optimized crystal structure of NaScSCl2 (PBE-GGA, Alexandria via LeMat-Bulk). Values from VASP.

```
&SYSTEM
  ibrav = 0, nat = 5, ntyp = 4
/
ATOMIC_SPECIES
Sc 44.96 Sc.upf
Na 22.99 Na.upf
S 32.06 S.upf
Cl 35.45 Cl.upf
CELL_PARAMETERS angstrom
5.0773 0.0000 0.0000
0.0000 5.0773 0.0000
0.0000 0.0000 4.9241
ATOMIC_POSITIONS crystal
Sc 0.0000 0.0000 0.0000
Na 0.5000 0.5000 0.5000
S 0.0000 0.0000 0.5000
Cl 0.0000 0.5000 0.0000
Cl 0.5000 0.0000 0.0000
```

Calculated values
Spin magnetization: 0.00 μB per formula unit
Symmetry: P4/mmm
Crystal system: tetragonal
E_form (uncorrected): -1.687 eV per atom

# Fe2CuBi2

An optimized crystal structure of Fe2CuBi2 (PBE-GGA, Alexandria via LeMat-Bulk). Values from VASP.

```
&SYSTEM
  ibrav = 0, nat = 5, ntyp = 3
/
ATOMIC_SPECIES
Bi 208.98 Bi.upf
Cu 63.55 Cu.upf
Fe 55.84 Fe.upf
CELL_PARAMETERS angstrom
3.4307 0.0000 0.0000
0.0000 3.4307 0.0000
1.7153 1.7153 8.3462
ATOMIC_POSITIONS crystal
Bi 0.3871 0.3871 0.2259
Bi 0.6129 0.6129 0.7741
Cu 0.0000 0.0000 0.0000
Fe 0.7500 0.2500 0.5000
Fe 0.2500 0.7500 0.5000
```

Calculated values
Spin magnetization: 4.48 μB per formula unit
Symmetry: I4/mmm
Crystal system: tetragonal
DFT total energy: -0.3919 Ry/atom

# BC3

An optimized crystal structure of BC3 (PBE-GGA, Alexandria via LeMat-Bulk). Values from VASP.

```
&SYSTEM
  ibrav = 0, nat = 12, ntyp = 2
/
ATOMIC_SPECIES
B 10.81 B.upf
C 12.01 C.upf
CELL_PARAMETERS angstrom
-4.3847 -1.0353 0.3312
2.5296 -1.9595 -3.2198
1.5777 -2.0876 3.7033
ATOMIC_POSITIONS crystal
B 0.9892 0.7182 0.1471
B 0.3815 0.6565 0.9848
B 0.8265 0.1616 0.5048
C 0.1747 0.8347 0.5111
C 0.5026 0.4957 0.5032
C 0.3707 0.3659 0.1317
C 0.2180 0.5550 0.6152
C 0.7176 0.0584 0.1129
C 0.6573 0.3209 0.9932
C 0.5343 0.2090 0.6276
C 0.0028 0.0067 0.9937
C 0.8749 0.8675 0.6247
```

Calculated values
Spin magnetization: 0.00 μB per formula unit
Symmetry: P1
Crystal system: triclinic
DFT total energy: -0.6062 Ry/atom

# GaTc3P

An optimized crystal structure of GaTc3P (PBE-GGA, Alexandria via LeMat-Bulk). Values from VASP.

```
&SYSTEM
  ibrav = 0, nat = 10, ntyp = 3
/
ATOMIC_SPECIES
Ga 69.72 Ga.upf
Tc 98.00 Tc.upf
P 30.97 P.upf
CELL_PARAMETERS angstrom
-3.9240 1.4361 1.8260
0.8680 -5.2850 3.0327
2.7260 -0.9408 6.2440
ATOMIC_POSITIONS crystal
Ga 0.4035 0.1709 0.3132
Ga 0.2858 0.5535 0.6897
Tc 0.8448 0.3618 0.5017
Tc 0.2434 0.0672 0.7644
Tc 0.4463 0.6569 0.2390
Tc 0.8446 0.8622 0.5015
Tc 0.7521 0.2045 0.9530
Tc 0.9376 0.5194 0.0503
P 0.0383 0.8631 0.1822
P 0.6513 0.8607 0.8213
```

Calculated values
Spin magnetization: 0.00 μB per formula unit
Symmetry: P-1
Crystal system: triclinic
DFT total energy: -0.5907 Ry/atom

# SrCrAg

An optimized crystal structure of SrCrAg (PBE-GGA, Alexandria via LeMat-Bulk). Values from VASP.

```
&SYSTEM
  ibrav = 0, nat = 3, ntyp = 3
/
ATOMIC_SPECIES
Ag 107.87 Ag.upf
Cr 52.00 Cr.upf
Sr 87.62 Sr.upf
CELL_PARAMETERS angstrom
4.8203 0.0000 0.0000
-2.4101 4.1745 0.0000
0.0000 0.0000 4.1407
ATOMIC_POSITIONS crystal
Ag 0.0000 0.0000 0.1664
Cr 0.6667 0.3333 0.1669
Sr 0.3333 0.6667 0.6667
```

Calculated values
Spin magnetization: 4.70 μB per formula unit
Symmetry: P-6m2
Crystal system: hexagonal
DFT total energy: -0.3213 Ry/atom

# Hf2Cr3Re

An optimized crystal structure of Hf2Cr3Re (PBE-GGA, Alexandria via LeMat-Bulk). Values from VASP.

```
&SYSTEM
  ibrav = 0, nat = 6, ntyp = 3
/
ATOMIC_SPECIES
Hf 178.49 Hf.upf
Cr 52.00 Cr.upf
Re 186.21 Re.upf
CELL_PARAMETERS angstrom
4.4808 -0.1305 -2.3501
-2.8484 4.1780 -0.2200
-0.1758 0.1413 5.1012
ATOMIC_POSITIONS crystal
Hf 0.7514 0.3757 0.1270
Hf 0.2486 0.6243 0.8730
Cr 0.5000 0.5000 0.5000
Cr 0.0000 0.0000 0.5000
Cr 0.5000 0.0000 0.5000
Re 0.0000 0.0000 0.0000
```

Calculated values
Spin magnetization: 0.00 μB per formula unit
Symmetry: C2/m
Crystal system: monoclinic
DFT total energy: -0.7680 Ry/atom

# MgAlCu2Se4

An optimized crystal structure of MgAlCu2Se4 (PBE-GGA, Alexandria via LeMat-Bulk). Values from VASP.

```
&SYSTEM
  ibrav = 0, nat = 8, ntyp = 4
/
ATOMIC_SPECIES
Mg 24.30 Mg.upf
Al 26.98 Al.upf
Cu 63.55 Cu.upf
Se 78.96 Se.upf
CELL_PARAMETERS angstrom
5.6927 0.2364 -0.0005
-0.2367 5.6927 -0.0005
-2.7285 -2.9650 5.6960
ATOMIC_POSITIONS crystal
Mg 0.0002 0.0002 0.0002
Al 0.5000 0.5000 0.0000
Cu 0.7500 0.2501 0.5001
Cu 0.2501 0.7500 0.5001
Se 0.6074 0.6074 0.7393
Se 0.3928 0.8680 0.2608
Se 0.8680 0.3928 0.2608
Se 0.1319 0.1319 0.7393
```

Calculated values
Spin magnetization: 0.00 μB per formula unit
Symmetry: I-42m
Crystal system: tetragonal
E_form (uncorrected): -0.644 eV per atom

# K2NbHgB

An optimized crystal structure of K2NbHgB (PBE-GGA, Alexandria via LeMat-Bulk). Values from VASP.

```
&SYSTEM
  ibrav = 0, nat = 5, ntyp = 4
/
ATOMIC_SPECIES
K 39.10 K.upf
Nb 92.91 Nb.upf
B 10.81 B.upf
Hg 200.59 Hg.upf
CELL_PARAMETERS angstrom
6.7236 0.0000 0.0000
0.0000 5.4835 0.0000
0.0000 0.0000 6.7236
ATOMIC_POSITIONS crystal
K 0.0000 0.0000 0.5000
K 0.5000 0.0000 0.0000
Nb 0.0000 0.0000 0.0000
B 0.5000 0.5000 0.5000
Hg 0.0000 0.5000 0.0000
```

Calculated values
Spin magnetization: 3.86 μB per formula unit
Symmetry: P4/mmm
Crystal system: tetragonal
DFT total energy: -0.1442 Ry/atom